DFT (PBE) results for FeOsN2 after structural relaxation.

Unit cell a=4.4641 b=4.4641 c=8.6506 alpha=90.00 beta=90.00 gamma=90.00
Closest atoms and distances in Å follow each position.
Fractional positions:
1 Fe 0.0000 0.0000 0.0000  4 N 1.85
2 Fe 0.0000 0.5000 0.2500  4 N 1.85
3 Fe 0.5000 0.0000 0.7500  4 N 1.85
4 Fe 0.5000 0.5000 0.5000  4 N 1.85
5 Os 0.0000 0.0000 0.5000  4 N 1.98
6 Os 0.0000 0.5000 0.7500  4 N 1.98
7 Os 0.5000 0.0000 0.2500  4 N 1.98
8 Os 0.5000 0.5000 0.0000  4 N 1.98
9 N 0.2252 0.2500 0.1250  2 Fe 1.85, 2 Os 1.98
10 N 0.2500 0.7252 0.3750  2 Fe 1.85, 2 Os 1.98
11 N 0.2500 0.7748 0.8750  2 Fe 1.85, 2 Os 1.98
12 N 0.2748 0.2500 0.6250  2 Fe 1.85, 2 Os 1.98
13 N 0.7252 0.7500 0.6250  2 Fe 1.85, 2 Os 1.98
14 N 0.7500 0.2252 0.8750  2 Fe 1.85, 2 Os 1.98
15 N 0.7500 0.2748 0.3750  2 Fe 1.85, 2 Os 1.98
16 N 0.7748 0.7500 0.1250  2 Fe 1.85, 2 Os 1.98

D(E_F) (states/eV per cell): 10.6
Total energy (eV per atom): -8.829
ΔE_f (raw) (meV per atom): 257
Total magnetic moment (μB/cell): 0.000